1.
Below is a relaxed AcPrAlAg crystal, with properties calculated at the PBE-GGA level.

```
4
Lattice="0.000 3.886 3.886 3.886 0.000 3.886 3.886 3.886 0.000" Properties=species:S:1:pos:R:3 pbc="T T T"
Ac 0.000 0.000 0.000
Pr 3.886 3.886 3.886
Al 5.830 5.830 5.830
Ag 1.943 1.943 1.943
```

Calculated values
Symmetry ... F-43m (216)
E_form ... -91 kJ/mol of formula units

2.
Below is a relaxed AcAl3AgPt crystal, with properties calculated at the PBE-GGA level.

```
12
Lattice="3.033 -7.115 0.000 3.033 7.115 0.000 0.000 0.000 5.989" Properties=species:S:1:pos:R:3 pbc="T T T"
Ac 3.033 4.126 4.492
Ac 3.033 -4.126 1.497
Al 1.332 0.000 0.000
Al 1.332 0.000 2.995
Al 3.033 1.691 1.497
Al 3.033 -1.691 4.492
Al 4.734 0.000 0.000
Al 4.734 0.000 2.995
Ag 3.033 5.051 1.497
Ag 3.033 -5.051 4.492
Pt 3.033 1.172 4.492
Pt 3.033 -1.172 1.497
```

Calculated values
Symmetry ... Cmcm (63)
E_form ... -258 kJ/mol of formula units

3.
Below is a relaxed Ac2Al12AgPt3 crystal, with properties calculated at the PBE-GGA level.

```
18
Lattice="4.582 2.646 6.055 -4.582 2.646 6.055 0.000 -5.291 6.055" Properties=species:S:1:pos:R:3 pbc="T T T"
Ac 0.000 0.000 1.851
Ac 0.000 0.000 16.313
Al -2.233 -1.289 8.511
Al 0.000 -2.047 6.740
Al -1.772 1.023 6.740
Al 0.000 -2.578 9.653
Al -2.233 1.289 9.653
Al -1.772 -1.023 11.424
Al 1.772 1.023 6.740
Al 2.233 -1.289 8.511
Al 0.000 2.578 8.511
Al 1.772 -1.023 11.424
Al 0.000 2.047 11.424
Al 2.233 1.289 9.653
Ag 0.000 0.000 9.082
Pt -2.291 -1.323 6.055
Pt -2.291 1.323 12.109
Pt 0.000 2.646 6.055
```

Calculated values
Symmetry ... R-3m (166)
E_form ... -284 kJ/mol of formula units